First-principles (PBE-GGA) data for Ge2IrPt after structural relaxation, as listed in Alexandria via LeMat-Bulk.

Properties
Space group: R3m
Crystal system: trigonal
Formation energy from the elements in eV per atom: -0.120
Excess energy over the best structure of this formula in the dataset in eV/atom: 0.003
E_tot in eV per formula unit: -24.6
DOS at the Fermi energy in states/eV per cell: 4.71

Cell: 3.466 3.466 19.610 Å, 90.00 90.00 120.00°
Fractional coordinates of all 12 atoms:
Ge (0.000, 0.000, 0.000)
Ge (0.000, 0.000, 0.161)
Ge (0.333, 0.667, 0.667)
Ge (0.333, 0.667, 0.828)
Ge (0.667, 0.333, 0.333)
Ge (0.667, 0.333, 0.495)
Ir (0.000, 0.000, 0.743)
Ir (0.333, 0.667, 0.409)
Ir (0.667, 0.333, 0.076)
Pt (0.000, 0.000, 0.588)
Pt (0.333, 0.667, 0.255)
Pt (0.667, 0.333, 0.922)

First-principles (PBE-GGA) data for Ge3Ir2Pt after structural relaxation, as listed in Alexandria via LeMat-Bulk.

Properties
Space group: Pnma
Crystal system: orthorhombic
Formation energy from the elements in eV per atom: -0.122
E_tot in eV per formula unit: -38.3
DOS at the Fermi energy in states/eV per cell: 10.22

Cell: 9.711 2.921 13.450 Å, 90.00 90.00 90.00°
Fractional coordinates of all 24 atoms:
Ge (0.012, 0.250, 0.103)
Ge (0.067, 0.750, 0.579)
Ge (0.219, 0.750, 0.366)
Ge (0.281, 0.250, 0.866)
Ge (0.433, 0.250, 0.079)
Ge (0.488, 0.750, 0.603)
Ge (0.512, 0.250, 0.397)
Ge (0.567, 0.750, 0.921)
Ge (0.719, 0.750, 0.134)
Ge (0.781, 0.250, 0.634)
Ge (0.933, 0.250, 0.421)
Ge (0.988, 0.750, 0.897)
Ir (0.002, 0.250, 0.735)
Ir (0.205, 0.750, 0.012)
Ir (0.295, 0.250, 0.512)
Ir (0.498, 0.750, 0.235)
Ir (0.502, 0.250, 0.765)
Ir (0.705, 0.750, 0.488)
Ir (0.795, 0.250, 0.988)
Ir (0.998, 0.750, 0.265)
Pt (0.243, 0.250, 0.209)
Pt (0.257, 0.750, 0.709)
Pt (0.743, 0.250, 0.291)
Pt (0.757, 0.750, 0.791)

First-principles (PBE-GGA) data for GeIr3Pt after structural relaxation, as listed in Alexandria via LeMat-Bulk.

Properties
Space group: Pm-3m
Crystal system: cubic
Formation energy from the elements in eV per atom: 1.338
Excess energy over the best structure of this formula in the dataset in eV/atom: 0.000
E_tot in eV per formula unit: -30.6
DOS at the Fermi energy in states/eV per cell: 8.28

Cell: 4.518 4.518 4.518 Å, 90.00 90.00 90.00°
Fractional coordinates of all 5 atoms:
Ge (0.000, 0.000, 0.000)
Ir (0.000, 0.000, 0.500)
Ir (0.000, 0.500, 0.000)
Ir (0.500, 0.000, 0.000)
Pt (0.500, 0.500, 0.500)

First-principles (PBE-GGA) data for Pu2Ge4Ir3Pt after structural relaxation, as listed in Alexandria via LeMat-Bulk.

Properties
Space group: P-4m2
Crystal system: tetragonal
Formation energy from the elements in eV per atom: -0.583
E_tot in eV per formula unit: -85.6
DOS at the Fermi energy in states/eV per cell: 28.19

Cell: 4.219 4.219 10.362 Å, 90.00 90.00 90.00°
Fractional coordinates of all 10 atoms:
Pu (0.000, 0.500, 0.242)
Pu (0.500, 0.000, 0.758)
Ge (0.000, 0.000, 0.000)
Ge (0.000, 0.500, 0.637)
Ge (0.500, 0.000, 0.363)
Ge (0.500, 0.500, 0.000)
Ir (0.000, 0.500, 0.871)
Ir (0.500, 0.000, 0.129)
Ir (0.500, 0.500, 0.500)
Pt (0.000, 0.000, 0.500)

First-principles (PBE-GGA) data for GeIrRu2Pt after structural relaxation, as listed in Alexandria via LeMat-Bulk.

Properties
Space group: P4/mmm
Crystal system: tetragonal
Formation energy from the elements in eV per atom: 1.866
E_tot in eV per formula unit: -28.7
DOS at the Fermi energy in states/eV per cell: 8.24

Cell: 4.778 4.778 4.829 Å, 90.00 90.00 90.00°
Fractional coordinates of all 5 atoms:
Ge (0.000, 0.000, 0.000)
Ir (0.500, 0.500, 0.000)
Ru (0.000, 0.500, 0.500)
Ru (0.500, 0.000, 0.500)
Pt (0.500, 0.500, 0.500)

First-principles (PBE-GGA) data for Ge6IrPtS2 after structural relaxation, as listed in Alexandria via LeMat-Bulk.

Properties
Space group: P-1
Crystal system: triclinic
E_tot in eV per formula unit: -53.6
DOS at the Fermi energy in states/eV per cell: 3.71

Cell: 6.331 6.375 6.435 Å, 114.66 119.40 90.29°
Fractional coordinates of all 10 atoms:
Ge (0.111, 0.339, 0.439)
Ge (0.315, 0.206, 0.013)
Ge (0.324, 0.824, 0.409)
Ge (0.676, 0.176, 0.591)
Ge (0.685, 0.794, 0.987)
Ge (0.889, 0.661, 0.561)
Ir (0.500, 0.500, 0.500)
Pt (0.000, 0.000, 0.500)
S (0.270, 0.806, 0.002)
S (0.730, 0.194, 0.998)

Copy entry 6 word for word.
First-principles (PBE-GGA) data for Ge6IrPtS2 after structural relaxation, as listed in Alexandria via LeMat-Bulk.

Properties
Space group: P-1
Crystal system: triclinic
E_tot in eV per formula unit: -53.6
DOS at the Fermi energy in states/eV per cell: 3.71

Cell: 6.331 6.375 6.435 Å, 114.66 119.40 90.29°
Fractional coordinates of all 10 atoms:
Ge (0.111, 0.339, 0.439)
Ge (0.315, 0.206, 0.013)
Ge (0.324, 0.824, 0.409)
Ge (0.676, 0.176, 0.591)
Ge (0.685, 0.794, 0.987)
Ge (0.889, 0.661, 0.561)
Ir (0.500, 0.500, 0.500)
Pt (0.000, 0.000, 0.500)
S (0.270, 0.806, 0.002)
S (0.730, 0.194, 0.998)